Material: Nd2Al5Zn3
Method: DFT, PBE
State: relaxed

Properties
The calculation puts the distance to the lowest polymorph of the same formula at 0.000 eV/f.u. As for the space-group type: No. 72. The density of states at the Fermi level is 3.44 states/eV per cell. The value obtained for the raw total energy is -3.623 eV per atom. As for the formation energy: -401 kJ/mol of formula units.

Cell: 8.6488 8.6488 8.6488 Å, 101.65 92.18 139.45°
With the nearest neighbours (Å) after each atom.
Element x y z (fractional)
Nd: 0.1265 0.2486 0.3751  10 Al 3.22-3.48, 6 Zn 3.23-3.45
Nd: 0.3735 0.7486 0.1221  10 Al 3.22-3.48, 6 Zn 3.23-3.45
Nd: 0.6265 0.2514 0.8779  10 Al 3.22-3.48, 6 Zn 3.23-3.45
Nd: 0.8735 0.7514 0.6249  10 Al 3.22-3.48, 6 Zn 3.23-3.45
Al: 0.0048 0.7500 0.2548  2 Zn 2.59, 2 Al 2.65
Al: 0.1218 0.8631 0.9849  3 Zn 2.46-2.57, 2 Al 2.65
Al: 0.2500 0.7500 0.5000  4 Zn 2.59
Al: 0.3782 0.3631 0.7413  3 Zn 2.46-2.57, 2 Al 2.65
Al: 0.4952 0.7500 0.7452  2 Zn 2.59, 2 Al 2.65
Al: 0.5048 0.2500 0.2548  2 Zn 2.59, 2 Al 2.65
Al: 0.6218 0.6369 0.2587  3 Zn 2.46-2.57, 2 Al 2.65
Al: 0.7500 0.2500 0.5000  4 Zn 2.59
Al: 0.8782 0.1369 0.0151  3 Zn 2.46-2.57, 2 Al 2.65
Al: 0.9952 0.2500 0.7452  2 Zn 2.59, 2 Al 2.65
Zn: 0.1226 0.6382 0.7608  5 Al 2.46-2.59
Zn: 0.2500 0.2500 0.0000  4 Al 2.57
Zn: 0.3774 0.1382 0.5156  5 Al 2.46-2.59
Zn: 0.6226 0.8618 0.4844  5 Al 2.46-2.59
Zn: 0.7500 0.7500 0.0000  4 Al 2.57
Zn: 0.8774 0.3618 0.2392  5 Al 2.46-2.59